# RbCeAg2Se4 | the Alexandria database | GGA-PBE | optimized geometry
data_RbCeAg2Se4
_chemical_formula_sum 'Rb2 Ce2 Ag4 Se8'
_space_group_name_H-M_alt 'I 2 2 2'
_space_group_IT_number 23
_space_group_name_Hall 'I 2 2'
_cell_length_a 7.3400
_cell_length_b 7.3540
_cell_length_c 8.7296
_cell_angle_alpha 90.00
_cell_angle_beta 90.00
_cell_angle_gamma 90.00
loop_
_atom_site_label
_atom_site_type_symbol
_atom_site_fract_x
_atom_site_fract_y
_atom_site_fract_z
Rb1 Rb 0.0000 0.0000 0.0000
Ce1 Ce 0.0000 0.0000 0.5000
Ag1 Ag 0.0000 0.5000 0.2484
Se1 Se 0.2128 0.2128 0.3040
# Uncorrected formation energy, meV per atom: -733
# DOS at the Fermi energy, states/eV/cell: 8.0
# Volume, Å³/f.u.: 235.6
# Calculated density, g/cm3: 5.34